# 1
Material: LaZn5
Method: DFT, PBE-GGA
State: optimized geometry

The structure in extended XYZ format:
```
6
Lattice="2.709 4.693 0.000 -2.709 4.693 0.000 0.000 0.000 4.250" Properties=species:S:1:pos:R:3 pbc="T T T"
Zn 0.000 6.258 0.000
Zn -0.028 4.693 2.125
Zn 0.000 3.129 0.000
Zn -1.341 2.323 2.125
Zn 1.369 2.371 2.125
La 0.000 0.000 0.000
```

Crystal system: hexagonal
Uncorrected energy in eV per atom: -2.19
Formation enthalpy at 0 K in kJ per mole of atoms: -30.2

***

# 2
Material: PrSm2Mg3AgHg2
Method: DFT, PBE-GGA
State: optimized geometry

The structure in extended XYZ format:
```
9
Lattice="4.270 0.000 0.000 0.000 6.878 3.967 0.000 -6.878 3.967" Properties=species:S:1:pos:R:3 pbc="T T T"
Pr 0.000 0.000 4.682
Sm 0.000 4.060 5.591
Sm 0.000 -4.060 5.591
Mg 2.135 5.215 3.017
Mg 2.135 0.000 1.907
Mg 2.135 -5.215 3.017
Hg 2.135 2.316 3.960
Hg 2.135 -2.316 3.960
Ag 0.000 0.000 0.012
```

Crystal system: orthorhombic
Uncorrected energy in eV per atom: -2.84